[1]
DFT (GGA-PBE) results for a geometry-optimized Zn2Bi2F structure.

The space group is P4/mbm (No. 127) and the conventional cell measures 7.353, 7.353 and 4.246 Å, with angles of 90.00, 90.00 and 90.00 degrees. The inequivalent atoms are Zn at (0.121, 0.379, 0.000), Bi at (0.198, 0.698, 0.500) and F at (0.000, 0.000, 0.500).

The value obtained for the magnetic moment is 0.0 μB per formula unit. As for the crystal system: tetragonal. The uncorrected formation energy comes out at -347.4 meV per atom.


[2]
DFT (GGA-PBE) results for a geometry-optimized ZnBiF5 structure.

The space group is P2_1/c (No. 14) and the conventional cell measures 5.089, 10.269 and 8.287 Å, with angles of 90.00, 96.40 and 90.00 degrees. The inequivalent atoms are Zn at (0.046, 0.007, 0.202), Bi at (0.444, 0.745, 0.102), F at (0.074, 0.625, 0.127), F at (0.161, 0.600, 0.500), F at (0.253, 0.115, 0.796), F at (0.285, 0.654, 0.808) and F at (0.368, 0.123, 0.187).

The value obtained for the magnetic moment is 0.0 μB per formula unit. As for the crystal system: monoclinic. The uncorrected formation energy comes out at -2346.1 meV per atom.


[3]
DFT (GGA-PBE) results for a geometry-optimized ZnBiF5 structure.

The space group is C2/c (No. 15) and the conventional cell measures 9.284, 6.843 and 7.819 Å, with angles of 90.00, 114.90 and 90.00 degrees. The inequivalent atoms are Zn at (0.000, 0.000, 0.000), Bi at (0.000, 0.446, 0.250), F at (0.000, 0.098, 0.250), F at (0.007, 0.309, 0.963) and F at (0.236, 0.018, 0.621).

The value obtained for the magnetic moment is 0.0 μB per formula unit. As for the crystal system: monoclinic. The uncorrected formation energy comes out at -2376.7 meV per atom.


[4]
DFT (GGA-PBE) results for a geometry-optimized ZnBi3F structure.

The space group is Pm-3m (No. 221) and the conventional cell measures 5.098, 5.098 and 5.098 Å, with angles of 90.00, 90.00 and 90.00 degrees. The inequivalent atoms are Zn at (0.000, 0.000, 0.000), Bi at (0.000, 0.500, 0.500) and F at (0.500, 0.500, 0.500).

The value obtained for the magnetic moment is 0.0 μB per formula unit. As for the crystal system: cubic. The uncorrected formation energy comes out at -92.9 meV per atom.


[5]
DFT (GGA-PBE) results for a geometry-optimized ZnBiF2 structure.

The space group is R-3m (No. 166, hexagonal axes) and the conventional cell measures 3.2036, 3.2036 and 23.6795 Å, with angles of 90.00, 90.00 and 120.00 degrees. The inequivalent atoms are Zn at (0.0000, 0.0000, 0.0000), Bi at (0.0000, 0.0000, 0.5000) and F at (0.0000, 0.0000, 0.3739).

The value obtained for the magnetic moment is 0.0 μB per formula unit. As for the crystal system: trigonal. The uncorrected formation energy comes out at -1485.3 meV per atom.


[6]
DFT (GGA-PBE) results for a geometry-optimized ZrBi2F structure.

The space group is Fm-3m (No. 225) and the conventional cell measures 7.219, 7.219 and 7.219 Å, with angles of 90.00, 90.00 and 90.00 degrees. The inequivalent atoms are Zr at (0.000, 0.000, 0.000), Bi at (0.250, 0.250, 0.250) and F at (0.000, 0.000, 0.500).

The value obtained for the magnetic moment is 0.0 μB per formula unit. As for the crystal system: cubic. The uncorrected formation energy comes out at -450.8 meV per atom.